# GGA-PBE Y2Sb2Pd, optimized geometry
# E above lowest polymorph	0.0	meV per atom
# E_form (uncorrected)	-0.818	eV per atom
data_Y2Sb2Pd
_chemical_formula_sum 'Y4 Sb4 Pd2'
_space_group_name_H-M_alt 'P 4/m b m'
_space_group_IT_number 127
_space_group_name_Hall '-P 4 2ab'
_cell_length_a 7.288
_cell_length_b 7.288
_cell_length_c 4.612
_cell_angle_alpha 90.00
_cell_angle_beta 90.00
_cell_angle_gamma 90.00
loop_
_atom_site_label
_atom_site_type_symbol
_atom_site_fract_x
_atom_site_fract_y
_atom_site_fract_z
_atom_site_occupancy
Y1 Y 0.169 0.331 0.000 1
Sb1 Sb 0.143 0.643 0.500 1
Pd1 Pd 0.000 0.000 0.500 1

---

# GGA-PBE HfZn4Fe, optimized geometry
# ΔH_f (0 K)	0.101	eV per atom
# E above lowest polymorph	168.8	meV per atom
data_HfZn4Fe
_chemical_formula_sum 'Hf4 Zn16 Fe4'
_space_group_name_H-M_alt 'C 1 2/m 1'
_space_group_IT_number 12
_cell_length_a 13.024
_cell_length_b 6.378
_cell_length_c 4.947
_cell_angle_alpha 90.00
_cell_angle_beta 112.32
_cell_angle_gamma 90.00
loop_
_space_group_symop_operation_xyz
'x,y,z'
'-x,-y,-z'
'-x,y,-z'
'x,-y,z'
'x+1/2,y+1/2,z'
'-x+1/2,-y+1/2,-z'
'-x+1/2,y+1/2,-z'
'x+1/2,-y+1/2,z'
loop_
_atom_site_label
_atom_site_type_symbol
_atom_site_fract_x
_atom_site_fract_y
_atom_site_fract_z
_atom_site_occupancy
Hf1 Hf 0.213 0.000 0.214 1
Zn1 Zn 0.000 0.184 0.000 1
Zn2 Zn 0.115 0.206 0.615 1
Zn3 Zn 0.177 0.500 0.177 1
Fe1 Fe 0.000 0.500 0.271 1

---

# GGA-PBE Ca2Mg2Hg, optimized geometry
# ΔH_f (0 K)	-0.084	eV per atom
# E above lowest polymorph	53.5	meV per atom
data_Ca2Mg2Hg
_chemical_formula_sum 'Ca4 Mg4 Hg2'
_space_group_name_H-M_alt 'I 4/m m m'
_space_group_IT_number 139
_space_group_name_Hall '-I 4 2'
_cell_length_a 4.056
_cell_length_b 4.056
_cell_length_c 18.649
_cell_angle_alpha 90.00
_cell_angle_beta 90.00
_cell_angle_gamma 90.00
loop_
_atom_site_label
_atom_site_type_symbol
_atom_site_fract_x
_atom_site_fract_y
_atom_site_fract_z
_atom_site_occupancy
Ca1 Ca 0.000 0.000 0.095 1
Mg1 Mg 0.000 0.500 0.250 1
Hg1 Hg 0.000 0.000 0.500 1

---

# GGA-PBE Rb2CuI6Br, optimized geometry
# E_form (uncorrected)	-0.558	eV per atom
data_Rb2CuI6Br
_chemical_formula_sum 'Rb4 Cu2 I12 Br2'
_space_group_name_H-M_alt 'I 4/m m m'
_space_group_IT_number 139
_space_group_name_Hall '-I 4 2'
_cell_length_a 8.306
_cell_length_b 8.306
_cell_length_c 12.345
_cell_angle_alpha 90.00
_cell_angle_beta 90.00
_cell_angle_gamma 90.00
loop_
_atom_site_label
_atom_site_type_symbol
_atom_site_fract_x
_atom_site_fract_y
_atom_site_fract_z
_atom_site_occupancy
Rb1 Rb 0.000 0.500 0.250 1
Cu1 Cu 0.000 0.000 0.000 1
I1 I 0.000 0.000 0.205 1
I2 I 0.248 0.248 0.500 1
Br1 Br 0.000 0.000 0.500 1